Record 1
DFT (GGA-PBE) results for a geometry-optimized YSnSb2O structure.

Symmetry = No. 123
Mass density = 5.8 g/cm³
V = 133.65 Å³/f.u.
Formation energy without anion corrections = -323.8 meV per atom

Lattice parameters (Å, degrees): 5.8214 5.8214 3.9439 90.00 90.00 90.00
Fractional positions:
Sb  0.0000  0.5000  0.0000
Sb  0.5000  0.0000  0.0000
O  0.0000  0.0000  0.5000
Sn  0.0000  0.0000  0.0000
Y  0.5000  0.5000  0.5000



Record 2
DFT (GGA-PBE) results for a geometry-optimized Zn2SnSbO6 structure.

Symmetry = No. 11
Mass density = 6.5 g/cm³
V = 118.80 Å³/f.u.
Formation energy without anion corrections = -1346.4 meV per atom

Lattice parameters (Å, degrees): 8.0550 5.4303 5.4321 90.00 90.00 90.00
Fractional positions:
O  0.5714  0.8306  0.8318
O  0.2500  0.5931  0.8802
O  0.2500  0.0981  0.6272
O  0.9286  0.8306  0.8318
O  0.0714  0.1694  0.1682
O  0.0719  0.6713  0.3358
O  0.7500  0.4069  0.1198
O  0.4281  0.6713  0.3358
O  0.7500  0.9019  0.3728
O  0.9281  0.3287  0.6642
O  0.5719  0.3287  0.6642
O  0.4286  0.1694  0.1682
Sb  0.0000  0.5000  0.0000
Sb  0.5000  0.5000  0.0000
Zn  0.7500  0.5283  0.4889
Zn  0.7500  0.0227  0.0112
Zn  0.2500  0.4717  0.5111
Zn  0.2500  0.9773  0.9888
Sn  0.0000  0.0000  0.5000
Sn  0.5000  0.0000  0.5000



Record 3
DFT (GGA-PBE) results for a geometry-optimized Zn2SnSbO8 structure.

Symmetry = No. 119
Mass density = 5.6 g/cm³
V = 147.87 Å³/f.u.
Formation energy without anion corrections = -848.5 meV per atom

Lattice parameters (Å, degrees): 5.7734 5.7734 5.7734 110.90 110.90 106.65
Fractional positions:
O  0.9550  0.6521  0.6971
O  0.5287  0.7141  0.8146
O  0.8995  0.7141  0.1854
O  0.7422  0.0450  0.6971
O  0.9550  0.2578  0.3029
O  0.3479  0.0450  0.3029
O  0.2859  0.4713  0.1854
O  0.2859  0.1005  0.8146
Sb  0.0000  0.0000  0.0000
Zn  0.5000  0.5000  0.0000
Zn  0.7500  0.2500  0.5000
Sn  0.2500  0.7500  0.5000



Record 4
DFT (GGA-PBE) results for a geometry-optimized ZnSnSbO2 structure.

Symmetry = No. 123
Mass density = 6.2 g/cm³
V = 90.96 Å³/f.u.
Formation energy without anion corrections = -351.5 meV per atom

Lattice parameters (Å, degrees): 4.1134 5.3762 4.1134 90.00 90.00 90.00
Fractional positions:
Sn  0.5000  0.5000  0.5000
O  0.0000  0.0000  0.5000
O  0.5000  0.0000  0.0000
Zn  0.0000  0.5000  0.0000
Sb  0.0000  0.0000  0.0000



> Which of these has the highest V?

Zn2SnSbO8



Repeat the third record exactly.
DFT (GGA-PBE) results for a geometry-optimized Zn2SnSbO8 structure.

Symmetry = No. 119
Mass density = 5.6 g/cm³
V = 147.87 Å³/f.u.
Formation energy without anion corrections = -848.5 meV per atom

Lattice parameters (Å, degrees): 5.7734 5.7734 5.7734 110.90 110.90 106.65
Fractional positions:
O  0.9550  0.6521  0.6971
O  0.5287  0.7141  0.8146
O  0.8995  0.7141  0.1854
O  0.7422  0.0450  0.6971
O  0.9550  0.2578  0.3029
O  0.3479  0.0450  0.3029
O  0.2859  0.4713  0.1854
O  0.2859  0.1005  0.8146
Sb  0.0000  0.0000  0.0000
Zn  0.5000  0.5000  0.0000
Zn  0.7500  0.2500  0.5000
Sn  0.2500  0.7500  0.5000